CaSm5Pb4 | PBE | optimized geometry

Cell: 3.7114 9.9659 9.1317 Å, 89.45 101.73 90.00°
Atoms (fractional coordinates):
Pb 0.0300 0.2461 0.0600
Pb 0.9700 0.7539 0.9400
Pb 0.6816 0.0736 0.3631
Pb 0.3184 0.9264 0.6369
Sm 0.8100 0.6098 0.6200
Sm 0.5000 0.5000 0.0000
Sm 0.8474 0.2333 0.6948
Sm 0.1526 0.7667 0.3052
Sm 0.1900 0.3902 0.3800
Ca 0.5000 0.0000 0.0000

As for the space group: No. 12. The value obtained for the spin magnetization is 0.0000 μB per atom. The formation energy is -2.1 eV per formula unit.